Below is a relaxed NaWSeO5 crystal, with properties calculated at the GGA+U level.

Cell lengths 5.7726, 5.7726, 7.4575 Å; angles 96.97, 96.97, 107.12 degrees
Positions (direct):
Na (0.3249, 0.6751, 0.2500)
Na (0.6751, 0.3249, 0.7500)
W (0.0000, 0.0000, 0.5000)
W (0.0000, 0.0000, 0.0000)
Se (0.6712, 0.3288, 0.2500)
Se (0.3288, 0.6712, 0.7500)
O (0.0648, 0.9352, 0.2500)
O (0.9352, 0.0648, 0.7500)
O (0.7453, 0.1612, 0.0627)
O (0.2547, 0.8388, 0.9373)
O (0.8388, 0.2547, 0.4373)
O (0.1612, 0.7453, 0.5627)
O (0.6970, 0.7479, 0.4336)
O (0.3030, 0.2521, 0.5664)
O (0.2521, 0.3030, 0.0664)
O (0.7479, 0.6970, 0.9336)

Results
- total energy (eV/cell) = -95.45
- M_tot (μB/atom) = 0.12